(1)
Below is a relaxed ZrRuPb2 crystal, with properties calculated at the PBE level.

calculated formation energy: 0.29 eV/atom
energy above the most stable polymorph in this dataset: 35.9 kJ per mole of atoms

CIF file:
```
data_ZrRuPb2
_chemical_formula_sum 'Zr3 Ru3 Pb6'
_symmetry_space_group_name_H-M 'R -3 m'
_symmetry_Int_Tables_number 166
_symmetry_space_group_name_Hall '-R 3 2"'
_cell_length_a 3.3266
_cell_length_b 3.3266
_cell_length_c 27.5416
_cell_angle_alpha 90.00
_cell_angle_beta 90.00
_cell_angle_gamma 120.00
loop_
_atom_site_label
_atom_site_fract_x
_atom_site_fract_y
_atom_site_fract_z
Zr1 0.0000 0.0000 0.0000
Ru1 0.0000 0.0000 0.5000
Pb1 0.0000 0.0000 0.2411
```



(2)
Below is a relaxed ZrRu2Pb crystal, with properties calculated at the PBE level.

calculated formation energy: 0.42 eV/atom

CIF file:
```
data_ZrRu2Pb
_chemical_formula_sum 'Zr3 Ru6 Pb3'
_symmetry_space_group_name_H-M 'R 3 m'
_symmetry_Int_Tables_number 160
_symmetry_space_group_name_Hall 'R 3 -2"'
_cell_length_a 3.0230
_cell_length_b 3.0230
_cell_length_c 28.5373
_cell_angle_alpha 90.00
_cell_angle_beta 90.00
_cell_angle_gamma 120.00
loop_
_atom_site_label
_atom_site_fract_x
_atom_site_fract_y
_atom_site_fract_z
Zr1 0.0000 0.0000 0.0000
Ru1 0.0000 0.0000 0.4860
Ru2 0.0000 0.0000 0.7511
Pb1 0.0000 0.0000 0.2365
```



(3)
Below is a relaxed ZrRu2Pb crystal, with properties calculated at the PBE level.

calculated formation energy: -0.14 eV/atom

CIF file:
```
data_ZrRu2Pb
_chemical_formula_sum 'Zr1 Ru2 Pb1'
_symmetry_space_group_name_H-M 'P 4/m m m'
_symmetry_Int_Tables_number 123
_symmetry_space_group_name_Hall '-P 4 2'
_cell_length_a 3.338
_cell_length_b 3.338
_cell_length_c 6.465
_cell_angle_alpha 90.00
_cell_angle_beta 90.00
_cell_angle_gamma 90.00
loop_
_atom_site_label
_atom_site_fract_x
_atom_site_fract_y
_atom_site_fract_z
Zr1 0.000 0.000 0.000
Ru1 0.500 0.500 0.242
Pb1 0.000 0.000 0.500
```



(4)
Below is a relaxed ZrRu2Pb crystal, with properties calculated at the PBE level.

calculated formation energy: -0.04 eV/atom

CIF file:
```
data_ZrRu2Pb
_chemical_formula_sum 'Zr2 Ru4 Pb2'
_symmetry_space_group_name_H-M 'I -4 m 2'
_symmetry_Int_Tables_number 119
_symmetry_space_group_name_Hall 'I -4 -2'
_cell_length_a 3.923
_cell_length_b 3.923
_cell_length_c 9.268
_cell_angle_alpha 90.00
_cell_angle_beta 90.00
_cell_angle_gamma 90.00
loop_
_atom_site_label
_atom_site_fract_x
_atom_site_fract_y
_atom_site_fract_z
Zr1 0.000 0.000 0.000
Ru1 0.000 0.000 0.500
Ru2 0.000 0.500 0.750
Pb1 0.000 0.500 0.250
```



(5)
Below is a relaxed ZrRuPb4 crystal, with properties calculated at the PBE level.

calculated formation energy: 0.91 eV/atom

CIF file:
```
data_ZrRuPb4
_chemical_formula_sum 'Zr4 Ru4 Pb16'
_symmetry_space_group_name_H-M 'F -4 3 m'
_symmetry_Int_Tables_number 216
_symmetry_space_group_name_Hall 'F -4 2 3'
_cell_length_a 8.743
_cell_length_b 8.743
_cell_length_c 8.743
_cell_angle_alpha 90.00
_cell_angle_beta 90.00
_cell_angle_gamma 90.00
loop_
_atom_site_label
_atom_site_fract_x
_atom_site_fract_y
_atom_site_fract_z
Zr1 0.000 0.000 0.000
Ru1 0.250 0.250 0.250
Pb1 0.125 0.125 0.625
```



(6)
Below is a relaxed ZrRuPb2 crystal, with properties calculated at the PBE level.

calculated formation energy: 0.28 eV/atom
energy above the most stable polymorph in this dataset: 35.0 kJ per mole of atoms

CIF file:
```
data_ZrRuPb2
_chemical_formula_sum 'Zr4 Ru4 Pb8'
_symmetry_space_group_name_H-M 'F m -3 m'
_symmetry_Int_Tables_number 225
_symmetry_space_group_name_Hall '-F 4 2 3'
_cell_length_a 6.982
_cell_length_b 6.982
_cell_length_c 6.982
_cell_angle_alpha 90.00
_cell_angle_beta 90.00
_cell_angle_gamma 90.00
loop_
_atom_site_label
_atom_site_fract_x
_atom_site_fract_y
_atom_site_fract_z
Zr1 0.000 0.000 0.000
Ru1 0.000 0.000 0.500
Pb1 0.250 0.250 0.250
```



(7)
Below is a relaxed ZrRuPb2 crystal, with properties calculated at the PBE level.

calculated formation energy: -0.08 eV/atom
energy above the most stable polymorph in this dataset: 0.4 kJ per mole of atoms

CIF file:
```
data_ZrRuPb2
_chemical_formula_sum 'Zr1 Ru1 Pb2'
_symmetry_space_group_name_H-M 'P 4 m m'
_symmetry_Int_Tables_number 99
_cell_length_a 3.374
_cell_length_b 3.374
_cell_length_c 8.462
_cell_angle_alpha 90.00
_cell_angle_beta 90.00
_cell_angle_gamma 90.00
loop_
_symmetry_equiv_pos_as_xyz
'x,y,z'
'-y,x,z'
'-x,-y,z'
'y,-x,z'
'-x,y,z'
'y,x,z'
'x,-y,z'
'-y,-x,z'
loop_
_atom_site_label
_atom_site_fract_x
_atom_site_fract_y
_atom_site_fract_z
Zr1 0.000 0.000 0.000
Ru1 0.500 0.500 0.846
Pb1 0.000 0.000 0.611
Pb2 0.500 0.500 0.268
```



(8)
Below is a relaxed ZrRuPb2 crystal, with properties calculated at the PBE level.

calculated formation energy: 0.27 eV/atom
energy above the most stable polymorph in this dataset: 33.9 kJ per mole of atoms

CIF file:
```
data_ZrRuPb2
_chemical_formula_sum 'Zr1 Ru1 Pb2'
_symmetry_space_group_name_H-M 'P 4/m m m'
_symmetry_Int_Tables_number 123
_symmetry_space_group_name_Hall '-P 4 2'
_cell_length_a 5.000
_cell_length_b 5.000
_cell_length_c 3.412
_cell_angle_alpha 90.00
_cell_angle_beta 90.00
_cell_angle_gamma 90.00
loop_
_atom_site_label
_atom_site_fract_x
_atom_site_fract_y
_atom_site_fract_z
Zr1 0.000 0.000 0.000
Ru1 0.500 0.500 0.000
Pb1 0.000 0.500 0.500
```



(9)
Below is a relaxed PbS crystal, with properties calculated at the PBE level.

raw formation energy: -7.85 kcal/mol of atoms

CIF file:
```
data_PbS
_chemical_formula_sum 'Pb6 S6'
_symmetry_space_group_name_H-M 'P m -3 n'
_symmetry_Int_Tables_number 223
_symmetry_space_group_name_Hall '-P 4n 2 3'
_cell_length_a 8.085
_cell_length_b 8.085
_cell_length_c 8.085
_cell_angle_alpha 90.00
_cell_angle_beta 90.00
_cell_angle_gamma 90.00
loop_
_atom_site_label
_atom_site_fract_x
_atom_site_fract_y
_atom_site_fract_z
Pb1 0.000 0.250 0.500
S1 0.000 0.500 0.250
```



(10)
Below is a relaxed Pb6S5 crystal, with properties calculated at the PBE level.

raw formation energy: -9.27 kcal/mol of atoms

CIF file:
```
data_Pb6S5
_chemical_formula_sum 'Pb12 S10'
_symmetry_space_group_name_H-M 'C 1 2/m 1'
_symmetry_Int_Tables_number 12
_cell_length_a 7.218
_cell_length_b 12.523
_cell_length_c 7.269
_cell_angle_alpha 90.00
_cell_angle_beta 109.36
_cell_angle_gamma 90.00
loop_
_symmetry_equiv_pos_as_xyz
'x,y,z'
'-x,-y,-z'
'-x,y,-z'
'x,-y,z'
'x+1/2,y+1/2,z'
'-x+1/2,-y+1/2,-z'
'-x+1/2,y+1/2,-z'
'x+1/2,-y+1/2,z'
loop_
_atom_site_label
_atom_site_fract_x
_atom_site_fract_y
_atom_site_fract_z
Pb1 0.240 0.161 0.241
Pb2 0.242 0.000 0.752
S1 0.000 0.171 0.500
S2 0.000 0.333 0.000
S3 0.000 0.500 0.500
```



(11)
Below is a relaxed PbS crystal, with properties calculated at the PBE level.

raw formation energy: -6.53 kcal/mol of atoms

CIF file:
```
data_PbS
_chemical_formula_sum 'Pb1 S1'
_symmetry_space_group_name_H-M 'P m -3 m'
_symmetry_Int_Tables_number 221
_symmetry_space_group_name_Hall '-P 4 2 3'
_cell_length_a 3.645
_cell_length_b 3.645
_cell_length_c 3.645
_cell_angle_alpha 90.00
_cell_angle_beta 90.00
_cell_angle_gamma 90.00
loop_
_atom_site_label
_atom_site_fract_x
_atom_site_fract_y
_atom_site_fract_z
Pb1 0.000 0.000 0.000
S1 0.500 0.500 0.500
```



(12)
Below is a relaxed PbS crystal, with properties calculated at the PBE level.

raw formation energy: -11.14 kcal/mol of atoms

CIF file:
```
data_PbS
_chemical_formula_sum 'Pb2 S2'
_symmetry_space_group_name_H-M 'P 63 m c'
_symmetry_Int_Tables_number 186
_symmetry_space_group_name_Hall 'P 6c -2c'
_cell_length_a 4.1408
_cell_length_b 4.1408
_cell_length_c 7.5374
_cell_angle_alpha 90.00
_cell_angle_beta 90.00
_cell_angle_gamma 120.00
loop_
_atom_site_label
_atom_site_fract_x
_atom_site_fract_y
_atom_site_fract_z
Pb1 0.0000 0.0000 0.0000
S1 0.3333 0.6667 0.2098
```



Copy entry 1 word for word.
Below is a relaxed ZrRuPb2 crystal, with properties calculated at the PBE level.

calculated formation energy: 0.29 eV/atom
energy above the most stable polymorph in this dataset: 35.9 kJ per mole of atoms

CIF file:
```
data_ZrRuPb2
_chemical_formula_sum 'Zr3 Ru3 Pb6'
_symmetry_space_group_name_H-M 'R -3 m'
_symmetry_Int_Tables_number 166
_symmetry_space_group_name_Hall '-R 3 2"'
_cell_length_a 3.3266
_cell_length_b 3.3266
_cell_length_c 27.5416
_cell_angle_alpha 90.00
_cell_angle_beta 90.00
_cell_angle_gamma 120.00
loop_
_atom_site_label
_atom_site_fract_x
_atom_site_fract_y
_atom_site_fract_z
Zr1 0.0000 0.0000 0.0000
Ru1 0.0000 0.0000 0.5000
Pb1 0.0000 0.0000 0.2411
```



> Which formula does entry 10 have?

Pb6S5